Entry 1:
Density functional theory data (GGA+U) for a relaxed structure of CsCdMo2O8.

abc: 5.6306 5.6306 26.6634
angles: 90.00 90.00 120.00
Space group R-3 (No. 148, hexagonal axes)
Inequivalent atoms, fractional coordinates:
Cs: 0.0000 0.0000 0.0000 (multiplicity 3)
Cd: 0.0000 0.0000 0.5000 (multiplicity 3)
Mo: 0.0000 0.0000 0.2366 (multiplicity 6)
O: 0.0000 0.0000 0.3030 (multiplicity 6)
O: 0.0135 0.3742 0.8833 (multiplicity 18)

Magnetization in μB/cell: 3.48
Theoretical density in g/cm3: 3.85
Uncorrected energy in eV for the cell shown: -218.73

Entry 2:
Density functional theory data (GGA+U) for a relaxed structure of CsCdMoO4.

abc: 5.625 6.136 8.901
angles: 90.00 101.01 90.00
Space group P2_1/m (No. 11)
Inequivalent atoms, fractional coordinates:
Cs: 0.201 0.250 0.099 (multiplicity 2)
Cd: 0.147 0.750 0.563 (multiplicity 2)
Mo: 0.447 0.250 0.711 (multiplicity 2)
O: 0.260 0.750 0.171 (multiplicity 2)
O: 0.294 0.007 0.760 (multiplicity 4)
O: 0.476 0.250 0.512 (multiplicity 2)

Magnetization in μB/cell: 0.00
Theoretical density in g/cm3: 4.46
Uncorrected energy in eV for the cell shown: -77.85

Entry 3:
Density functional theory data (GGA+U) for a relaxed structure of Cs3CdMo2O8.

abc: 6.5501 6.5501 8.4726
angles: 90.00 90.00 120.00
Space group P-3m1 (No. 164)
Inequivalent atoms, fractional coordinates:
Cs: 0.0000 0.0000 0.0000 (multiplicity 1)
Cs: 0.3333 0.6667 0.6692 (multiplicity 2)
Cd: 0.0000 0.0000 0.5000 (multiplicity 1)
Mo: 0.3333 0.6667 0.2254 (multiplicity 2)
O: 0.1834 0.3667 0.2997 (multiplicity 6)
O: 0.3333 0.6667 0.0152 (multiplicity 2)

Magnetization in μB/cell: 1.06
Theoretical density in g/cm3: 4.38
Uncorrected energy in eV for the cell shown: -80.48